A.
Compound: Fe2BrCl
Source: Alexandria
Functional: GGA-PBE
Structure: optimized geometry

It has space group F-43m (No. 216), with a = 6.595 Å, b = 6.595 Å, c = 6.595 Å, α = 90.00°, β = 90.00° and γ = 90.00°. The asymmetric unit holds Fe at (0.000, 0.000, 0.000), Fe at (0.250, 0.250, 0.250), Br at (0.000, 0.000, 0.500) and Cl at (0.250, 0.250, 0.750).

B.
Compound: Fe2BrCl
Source: Alexandria
Functional: GGA-PBE
Structure: optimized geometry

It has space group R-3m (No. 166, hexagonal axes), with a = 3.2352 Å, b = 3.2352 Å, c = 22.4022 Å, α = 90.00°, β = 90.00° and γ = 120.00°. The asymmetric unit holds Fe at (0.0000, 0.0000, 0.2475), Br at (0.0000, 0.0000, 0.0000) and Cl at (0.0000, 0.0000, 0.5000).

B ends up most stable, edging out the next structure by 39.4 kJ/mol of atoms.

A.
Compound: Fe2BrCl
Source: Alexandria
Functional: GGA-PBE
Structure: optimized geometry

It has space group Cmm2 (No. 35), with a = 4.701 Å, b = 4.711 Å, c = 7.274 Å, α = 90.00°, β = 90.00° and γ = 90.00°. The asymmetric unit holds Fe at (0.000, 0.000, 0.000), Fe at (0.000, 0.500, 0.130), Br at (0.000, 0.000, 0.342) and Cl at (0.000, 0.500, 0.809).

B.
Compound: Fe2BrCl
Source: Alexandria
Functional: GGA-PBE
Structure: optimized geometry

It has space group Pmmm (No. 47), with a = 3.113 Å, b = 3.965 Å, c = 6.018 Å, α = 90.00°, β = 90.00° and γ = 90.00°. The asymmetric unit holds Fe at (0.000, 0.000, 0.000), Fe at (0.500, 0.000, 0.500), Br at (0.000, 0.500, 0.500) and Cl at (0.500, 0.500, 0.000).

C.
Compound: Fe2BrCl
Source: Alexandria
Functional: GGA-PBE
Structure: optimized geometry

It has space group Pmm2 (No. 25), with a = 3.586 Å, b = 3.598 Å, c = 6.693 Å, α = 90.00°, β = 90.00° and γ = 90.00°. The asymmetric unit holds Fe at (0.000, 0.000, 0.000), Fe at (0.500, 0.500, 0.001), Br at (0.000, 0.500, 0.731) and Cl at (0.500, 0.000, 0.245).

C ends up most stable, edging out the next structure by 8.8 kJ/mol of atoms.

A.
Compound: FeBr3Cl
Source: Alexandria
Functional: GGA-PBE
Structure: optimized geometry

It has space group Pm-3m (No. 221), with a = 5.322 Å, b = 5.322 Å, c = 5.322 Å, α = 90.00°, β = 90.00° and γ = 90.00°. The asymmetric unit holds Fe at (0.000, 0.000, 0.000), Br at (0.000, 0.500, 0.500) and Cl at (0.500, 0.500, 0.500).

B.
Compound: FeBr3Cl
Source: Alexandria
Functional: GGA-PBE
Structure: optimized geometry

It has space group P1 (No. 1), with a = 6.405 Å, b = 7.076 Å, c = 7.244 Å, α = 95.29°, β = 90.06° and γ = 90.00°. The asymmetric unit holds Fe at (0.000, 0.000, 0.000), Fe at (0.499, 0.957, 0.539), Br at (0.225, 0.823, 0.763), Br at (0.328, 0.820, 0.270), Br at (0.348, 0.249, 0.513), Br at (0.725, 0.134, 0.775), Br at (0.829, 0.137, 0.268), Br at (0.848, 0.708, 0.025), Cl at (0.194, 0.247, 0.992) and Cl at (0.693, 0.709, 0.546).

B ends up most stable, edging out the next structure by 114.4 kJ/mol of atoms.

A.
Compound: FeBr3Cl
Source: Alexandria
Functional: GGA-PBE
Structure: optimized geometry

It has space group P2_1/m (No. 11), with a = 6.614 Å, b = 9.070 Å, c = 6.615 Å, α = 90.00°, β = 104.42° and γ = 90.00°. The asymmetric unit holds Fe at (0.133, 0.250, 0.355), Br at (0.216, 0.750, 0.802), Br at (0.236, 0.029, 0.251) and Cl at (0.271, 0.250, 0.682).

B.
Compound: FeBr3Cl
Source: Alexandria
Functional: GGA-PBE
Structure: optimized geometry

It has space group Pm-3m (No. 221), with a = 5.023 Å, b = 5.023 Å, c = 5.023 Å, α = 90.00°, β = 90.00° and γ = 90.00°. The asymmetric unit holds Fe at (0.000, 0.000, 0.000), Br at (0.000, 0.000, 0.500) and Cl at (0.500, 0.500, 0.500).

A ends up most stable, edging out the next structure by 42.4 kJ/mol of atoms.